Entry 1:
DFT (PBE) results for a relaxed HfBPRhCl crystal.

## Properties
E_form (uncorrected): -0.40 eV per atom
Fermi-level density of states: 1.28 states/eV/f.u.
SG: P1 (1)
ΔE to the lowest computed polymorph: 0.234 eV per atom
density: 7185 kg/m³
calculated total energy: -6.6492 eV per atom

Cell lengths 3.2685, 3.2746, 8.9985 Å; angles 95.61, 90.52, 119.93 degrees
Atoms (fractional coordinates):
1 Hf 0.0000 0.0000 0.0000
2 B 0.0699 0.1243 0.3169
3 P 0.7187 0.4259 0.2357
4 Rh 0.2893 0.5866 0.8060
5 Cl 0.0902 0.1477 0.5229



Entry 2:
DFT (PBE) results for a relaxed SrCa2Ga2 crystal.

## Properties
calculated formation energy: -1.48 eV/f.u.
Fermi-level density of states: 3.80 states/eV/f.u.
SG: Imma (74)
ΔE to the lowest computed polymorph: 0.035 eV per atom
density: 3275 kg/m³
calculated total energy: -2.6437 eV per atom

Cell lengths 9.0695, 9.0695, 9.0695 Å; angles 144.87, 132.88, 60.12 degrees
Atoms (fractional coordinates):
1 Sr 0.4189 0.1689 0.2500
2 Sr 0.5811 0.8311 0.7500
3 Ca 0.0905 0.8405 0.2500
4 Ca 0.2588 0.5088 0.7500
5 Ca 0.7412 0.4912 0.2500
6 Ca 0.9095 0.1595 0.7500
7 Ga 0.1242 0.6643 0.4599
8 Ga 0.2956 0.3357 0.9599
9 Ga 0.7044 0.6643 0.0401
10 Ga 0.8758 0.3357 0.5401



- Which value of calculated total energy does entry 2 give?
  -2.6437 eV per atom



- Among the records above, which one has the lowest ΔE to the lowest computed polymorph?
  SrCa2Ga2



- Which value of ΔE to the lowest computed polymorph does entry 1 give?
  0.234 eV per atom



- The highest calculated total energy belongs to which entry?
  SrCa2Ga2